Record 1
TbCe2Er: relaxed, PBE.

Lattice parameters (Å, degrees): 4.905 4.905 5.029 90.00 90.00 90.00
Fractional coordinates of all 4 atoms:
Tb 0.000 0.000 0.000
Ce 0.000 0.500 0.500
Ce 0.500 0.000 0.500
Er 0.500 0.500 0.000

Computed properties:
- energy of formation from the pure elements (eV per atom) = 0.105
- energy relative to the lowest polymorph listed for this composition (eV/atom) = 0.017
- magnetization (μB/f.u.) = 1.6
- symmetry = P4/mmm
- electronic total energy (eV/cell) = -20.642
- calculated volume (Å³ per atom) = 30.2
- crystal system = tetragonal
- calculated density (Mg/m³) = 8.3

=====

Record 2
Li4MgTl: relaxed, PBE.

Lattice parameters (Å, degrees): 5.851 4.733 8.728 90.00 109.13 90.00
Fractional coordinates of all 12 atoms:
Li 0.037 0.250 0.084
Li 0.189 0.250 0.417
Li 0.272 0.750 0.584
Li 0.453 0.750 0.916
Li 0.547 0.250 0.084
Li 0.728 0.250 0.416
Li 0.811 0.750 0.583
Li 0.963 0.750 0.916
Mg 0.383 0.750 0.266
Mg 0.617 0.250 0.734
Tl 0.132 0.250 0.763
Tl 0.868 0.750 0.237

Computed properties:
- energy of formation from the pure elements (eV per atom) = -0.160
- energy relative to the lowest polymorph listed for this composition (eV/atom) = 0.000
- magnetization (μB/f.u.) = 0.0
- symmetry = P2_1/m
- electronic total energy (eV/cell) = -25.154
- calculated volume (Å³ per atom) = 19.0
- crystal system = monoclinic
- calculated density (Mg/m³) = 3.7